No. 1
Computed, not measured: a geometry-optimized TlVNO2 structure at the PBE+U level of DFT.

The structure belongs to space group P4/mmm (No. 123); the cell edges are 4.290, 4.290 and 4.187 Å and the angles 90.00°, 90.00° and 90.00°. The distinct sites, in fractional coordinates, are Tl at (0.000, 0.000, 0.000), V at (0.500, 0.500, 0.500), N at (0.000, 0.000, 0.500) and O at (0.000, 0.500, 0.000).

For the energy, the calculation gives -0.3432 Ry/atom. The calculation puts the density of states at the Fermi level at 4.56 states/eV/f.u. Its crystal system is tetragonal. The total magnetic moment is 1.6 μB per formula unit.

No. 2
Computed, not measured: a geometry-optimized TlVNO2 structure at the PBE+U level of DFT.

The structure belongs to space group P4/mmm (No. 123); the cell edges are 3.754, 3.754 and 4.259 Å and the angles 90.00°, 90.00° and 90.00°. The distinct sites, in fractional coordinates, are Tl at (0.000, 0.000, 0.000), V at (0.500, 0.500, 0.500), N at (0.500, 0.500, 0.000) and O at (0.000, 0.500, 0.500).

For the energy, the calculation gives -0.4551 Ry/atom. The calculation puts the density of states at the Fermi level at 0.90 states/eV/f.u. Its crystal system is tetragonal. The total magnetic moment is 0.0 μB per formula unit.

No. 3
Computed, not measured: a geometry-optimized TlWNO2 structure at the PBE+U level of DFT.

The structure belongs to space group P4/mmm (No. 123); the cell edges are 4.049, 4.049 and 4.060 Å and the angles 90.00°, 90.00° and 90.00°. The distinct sites, in fractional coordinates, are Tl at (0.000, 0.000, 0.000), W at (0.500, 0.500, 0.500), N at (0.500, 0.500, 0.000) and O at (0.000, 0.500, 0.500).

For the energy, the calculation gives -0.4701 Ry/atom. The calculation puts the density of states at the Fermi level at 0.64 states/eV/f.u. Its crystal system is tetragonal. The total magnetic moment is 0.0 μB per formula unit.

No. 4
Computed, not measured: a geometry-optimized TlWNO2 structure at the PBE+U level of DFT.

The structure belongs to space group P4/mmm (No. 123); the cell edges are 4.235, 4.235 and 4.223 Å and the angles 90.00°, 90.00° and 90.00°. The distinct sites, in fractional coordinates, are Tl at (0.000, 0.000, 0.000), W at (0.500, 0.500, 0.500), N at (0.000, 0.000, 0.500) and O at (0.000, 0.500, 0.000).

For the energy, the calculation gives -0.3249 Ry/atom. The calculation puts the density of states at the Fermi level at 1.49 states/eV/f.u. Its crystal system is tetragonal. The total magnetic moment is 2.7 μB per formula unit.